No. 1
Computed, not measured: an optimized crystal structure of InBi3 at the PBE level of DFT.

a = 4.758 Å, b = 4.758 Å, c = 8.748 Å
α = 90.00°, β = 90.00°, γ = 139.00°
Fractional positions:
1 Bi 0.000 0.000 0.500
2 Bi 0.500 0.000 0.242
3 Bi 0.000 0.500 0.758
4 In 0.500 0.500 0.000

Energy relative to the elements, eV/f.u.: 0.21
Fermi-level density of states, states/eV/cell: 2.320



No. 2
Computed, not measured: an optimized crystal structure of In2Bi13 at the PBE level of DFT.

a = 6.731 Å, b = 8.434 Å, c = 10.057 Å
α = 116.29°, β = 101.18°, γ = 91.09°
Fractional positions:
1 In 0.222 0.106 0.345
2 In 0.778 0.894 0.655
3 Bi 0.618 0.182 0.149
4 Bi 0.157 0.311 0.891
5 Bi 0.647 0.288 0.872
6 Bi 0.503 0.571 0.372
7 Bi 0.002 0.534 0.348
8 Bi 0.777 0.072 0.418
9 Bi 0.497 0.429 0.628
10 Bi 0.843 0.689 0.109
11 Bi 0.353 0.712 0.128
12 Bi 0.000 0.000 0.000
13 Bi 0.223 0.928 0.582
14 Bi 0.998 0.466 0.652
15 Bi 0.382 0.818 0.851

Energy relative to the elements, eV/f.u.: 1.25
Fermi-level density of states, states/eV/cell: 7.245



No. 3
Computed, not measured: an optimized crystal structure of In3Bi at the PBE level of DFT.

a = 5.491 Å, b = 5.491 Å, c = 5.491 Å
α = 60.00°, β = 60.00°, γ = 60.00°
Fractional positions:
1 In 0.750 0.750 0.750
2 In 0.000 0.000 0.000
3 In 0.250 0.250 0.250
4 Bi 0.500 0.500 0.500

Energy relative to the elements, eV/f.u.: 0.27
Fermi-level density of states, states/eV/cell: 5.478



No. 4
Computed, not measured: an optimized crystal structure of In4Bi at the PBE level of DFT.

a = 5.003 Å, b = 5.515 Å, c = 6.404 Å
α = 73.15°, β = 67.01°, γ = 63.03°
Fractional positions:
1 In 0.194 0.197 0.415
2 In 0.403 0.404 0.791
3 In 0.806 0.803 0.585
4 In 0.597 0.596 0.209
5 Bi 0.000 0.000 0.000

Energy relative to the elements, eV/f.u.: 0.11
Fermi-level density of states, states/eV/cell: 1.883



No. 5
Computed, not measured: an optimized crystal structure of In24Bi5 at the PBE level of DFT.

a = 10.259 Å, b = 10.259 Å, c = 10.259 Å
α = 109.47°, β = 109.47°, γ = 109.47°
Fractional positions:
1 In 0.611 0.000 0.808
2 In 0.582 0.309 0.000
3 In 0.418 0.727 0.418
4 In 0.192 0.192 0.803
5 In 0.418 0.418 0.727
6 In 0.000 0.611 0.808
7 In 0.582 0.000 0.309
8 In 0.309 0.582 0.000
9 In 0.808 0.611 0.000
10 In 0.808 0.000 0.611
11 In 0.197 0.389 0.389
12 In 0.389 0.197 0.389
13 In 0.000 0.582 0.309
14 In 0.611 0.808 0.000
15 In 0.691 0.273 0.691
16 In 0.309 0.000 0.582
17 In 0.000 0.808 0.611
18 In 0.192 0.803 0.192
19 In 0.691 0.691 0.273
20 In 0.273 0.691 0.691
21 In 0.803 0.192 0.192
22 In 0.389 0.389 0.197
23 In 0.000 0.309 0.582
24 In 0.727 0.418 0.418
25 Bi 0.000 0.312 0.000
26 Bi 0.312 0.000 0.000
27 Bi 0.000 0.000 0.312
28 Bi 0.000 0.000 0.000
29 Bi 0.688 0.688 0.688

Energy relative to the elements, eV/f.u.: 1.19
Fermi-level density of states, states/eV/cell: 12.237



No. 6
Computed, not measured: an optimized crystal structure of InBi3 at the PBE level of DFT.

a = 4.785 Å, b = 4.785 Å, c = 6.409 Å
α = 111.92°, β = 111.92°, γ = 90.00°
Fractional positions:
1 In 0.000 0.000 0.000
2 Bi 0.250 0.750 0.500
3 Bi 0.500 0.500 0.000
4 Bi 0.750 0.250 0.500

Energy relative to the elements, eV/f.u.: 0.44
Fermi-level density of states, states/eV/cell: 2.695